# 1
Ti2Al4Rh | PBE-GGA | relaxed

a = 4.6096 Å, b = 4.6096 Å, c = 7.3396 Å
α = 71.70°, β = 71.70°, γ = 90.00°
Each line ends with the local moment (μB).
Atoms (fractional coordinates):
1 Rh 0.0000 0.0000 0.0000  0.04
2 Al 0.1871 0.1871 0.6257  0.00
3 Al 0.8129 0.8129 0.3743  0.00
4 Al 0.0000 0.5000 0.0000  0.01
5 Al 0.5000 0.0000 0.0000  0.01
6 Ti 0.3888 0.3888 0.2224  0.33
7 Ti 0.6112 0.6112 0.7776  0.33

Symmetry: I4/mmm
Formation enthalpy at 0 K (meV per atom): 148.3


# 2
TiAlRh4 | PBE-GGA | relaxed

a = 4.0751 Å, b = 4.0757 Å, c = 5.8573 Å
α = 89.98°, β = 89.99°, γ = 90.00°
Atoms (fractional coordinates):
1 Ti 0.5013 0.4973 0.9981
2 Al 0.0013 0.9973 0.4981
3 Rh 0.5013 0.9972 0.2487
4 Rh 0.5013 0.9974 0.7475
5 Rh 0.0013 0.4972 0.7475
6 Rh 0.0012 0.4973 0.2488

Symmetry: P4/mmm
Formation enthalpy at 0 K (meV per atom): -343.5


# 3
Ti8Al15Rh7 | PBE-GGA | relaxed

a = 8.6401 Å, b = 8.6401 Å, c = 8.6401 Å
α = 120.09°, β = 119.87°, γ = 90.04°
Atoms (fractional coordinates):
1 Ti 0.7909 0.2897 0.0728
2 Ti 0.2170 0.2897 0.4988
3 Ti 0.2084 0.7084 0.5000
4 Ti 0.2170 0.7182 0.9272
5 Ti 0.7909 0.7182 0.5012
6 Ti 0.7817 0.2817 0.5000
7 Ti 0.3790 0.1228 0.7438
8 Ti 0.3790 0.6352 0.2562
9 Al 0.9958 0.4958 0.5000
10 Al 0.1539 0.3441 0.1903
11 Al 0.1539 0.9636 0.8097
12 Al 0.1497 0.3474 0.8023
13 Al 0.5452 0.3474 0.1977
14 Al 0.8466 0.6521 0.8055
15 Al 0.8466 0.0411 0.1945
16 Al 0.8440 0.6542 0.1898
17 Al 0.4644 0.6542 0.8102
18 Al 0.3791 0.1217 0.2575
19 Al 0.8642 0.1217 0.7425
20 Al 0.6212 0.8771 0.2560
21 Al 0.6212 0.3652 0.7440
22 Al 0.6211 0.8779 0.7432
23 Al 0.1347 0.8779 0.2568
24 Rh 0.0009 0.9999 0.5013
25 Rh 0.4986 0.9999 0.9990
26 Rh 0.4974 0.4974 0.0000
27 Rh 0.4986 0.4996 0.4987
28 Rh 0.0009 0.4996 0.0010
29 Rh 0.9994 0.9994 0.0000
30 Rh 0.4989 0.9989 0.5000

Symmetry: Imm2
Formation enthalpy at 0 K (meV per atom): -776.2


# 4
Ti4AlRh | PBE-GGA | relaxed

a = 4.4356 Å, b = 5.2269 Å, c = 5.3494 Å
α = 62.51°, β = 65.51°, γ = 64.89°
Atoms (fractional coordinates):
1 Ti 0.6548 0.0117 0.6787
2 Ti 0.3452 0.9883 0.3213
3 Ti 0.6958 0.4515 0.1569
4 Ti 0.3042 0.5485 0.8431
5 Al 0.0000 0.5000 0.5000
6 Rh 0.0000 0.0000 0.0000

Symmetry: C2/m
Formation enthalpy at 0 K (meV per atom): -367.1


# 5
TiAl2Rh | PBE-GGA | relaxed

a = 4.3756 Å, b = 4.3756 Å, c = 4.3756 Å
α = 60.00°, β = 60.00°, γ = 60.00°
Each line ends with the local moment (μB).
Atoms (fractional coordinates):
1 Rh 0.5000 0.5000 0.5000  0.18
2 Al 0.2500 0.2500 0.2500  0.01
3 Al 0.7500 0.7500 0.7500  0.01
4 Ti 0.0000 0.0000 0.0000  0.92

Symmetry: Fm-3m
Formation enthalpy at 0 K (meV per atom): -586.2


# 6
TiAl3Rh | PBE-GGA | relaxed

a = 4.9884 Å, b = 8.5847 Å, c = 7.4817 Å
α = 102.95°, β = 90.00°, γ = 90.00°
Atoms (fractional coordinates):
1 Ti 0.1310 0.7487 0.3799
2 Ti 0.8690 0.2513 0.6201
3 Ti 0.6310 0.7513 0.6201
4 Ti 0.3690 0.2487 0.3799
5 Al 0.8397 0.5607 0.8754
6 Al 0.1603 0.4393 0.1246
7 Al 0.3397 0.9393 0.1246
8 Al 0.6603 0.0607 0.8754
9 Al 0.6251 0.6638 0.2260
10 Al 0.3749 0.3362 0.7740
11 Al 0.1251 0.8362 0.7740
12 Al 0.8749 0.1638 0.2260
13 Al 0.7890 0.4606 0.4023
14 Al 0.2110 0.5394 0.5977
15 Al 0.2890 0.0394 0.5977
16 Al 0.7110 0.9606 0.4023
17 Rh 0.6539 0.3567 0.0491
18 Rh 0.3461 0.6433 0.9509
19 Rh 0.1539 0.1433 0.9509
20 Rh 0.8461 0.8567 0.0491

Symmetry: P2_1/c
Formation enthalpy at 0 K (meV per atom): -520.3